Crystalline Cs2Rb2PtO4 at its relaxed geometry. Source: Alexandria, functional PBE.

Computed properties:
Raw total energy (eV/atom): -4.079
Formation energy without anion corrections (eV/f.u.): -7.194
Calculated volume (Å³/cell): 210.58

abc: 6.6575 6.6575 6.6575
angles: 91.09 119.37 119.37
Closest atoms and distances in Å follow each position.
Atoms (fractional coordinates):
1 Cs 0.0000 0.6686 0.6686  1 Pt 3.09, 1 Cs 3.14, 4 O 3.18, 4 Rb 3.44
2 Cs 0.0000 0.3314 0.3314  1 Pt 3.09, 1 Cs 3.14, 4 O 3.18, 4 Rb 3.44
3 Rb 0.5000 0.7500 0.2500  8 O 3.35, 4 Cs 3.44
4 Rb 0.5000 0.2500 0.7500  8 O 3.35, 4 Cs 3.44
5 Pt 0.0000 0.0000 0.0000  4 O 1.99
6 O 0.0000 0.7908 0.2092  1 Pt 1.99
7 O 0.5816 0.7908 0.7908  1 Pt 1.99
8 O 0.0000 0.2092 0.7908  1 Pt 1.99
9 O 0.4184 0.2092 0.2092  1 Pt 1.99

=====

Crystalline CaCu4As3 at its relaxed geometry. Source: Alexandria, functional PBE.

Computed properties:
Energy relative to the elements (eV/atom): -0.298
Raw total energy (eV/atom): -4.340
Calculated volume (Å³/cell): 137.45

abc: 4.1185 4.1185 8.1030
angles: 90.00 90.00 90.00
Closest atoms and distances in Å follow each position.
Atoms (fractional coordinates):
1 Ca 0.0000 0.0000 0.5000  8 As 3.19, 8 Cu 3.34
2 As 0.0000 0.0000 0.0000  8 Cu 2.50
3 As 0.5000 0.5000 0.3401  4 Cu 2.46, 1 As 2.59
4 As 0.5000 0.5000 0.6599  4 Cu 2.46, 1 As 2.59
5 Cu 0.5000 0.0000 0.1751  4 As 2.46-2.50
6 Cu 0.0000 0.5000 0.1751  4 As 2.46-2.50
7 Cu 0.5000 0.0000 0.8249  4 As 2.46-2.50
8 Cu 0.0000 0.5000 0.8249  4 As 2.46-2.50

=====

Crystalline BHF at its relaxed geometry. Source: Alexandria, functional PBE.

Computed properties:
Raw total energy (eV/atom): -4.804
Excess energy over the best structure of this formula in the dataset (eV/atom): 0.305
Calculated volume (Å³/cell): 68.46

abc: 3.0969 3.4443 7.3710
angles: 80.32 78.06 63.28
Closest atoms and distances in Å follow each position.
Atoms (fractional coordinates):
1 B 0.8124 0.8751 0.5000  2 F 1.60, 2 B 1.73
2 B 0.1876 0.1249 0.5000  2 F 1.60, 2 B 1.73
3 H 0.4591 0.1180 0.9826  1 H 0.75
4 H 0.5409 0.8820 0.0174  1 H 0.75
5 F 0.9397 0.4690 0.6539  2 B 1.60
6 F 0.0603 0.5310 0.3461  2 B 1.60